(1)
A plane-wave DFT calculation with PBE was carried out for a relaxed YAg2 crystal.

The structure in extended XYZ format:
```
12
Lattice="6.897 0.000 0.000 0.000 6.897 0.000 0.000 0.000 6.897" Properties=species:S:1:pos:R:3 pbc="T T T"
Ag 2.670 0.778 6.119
Ag 4.227 4.227 4.227
Ag 2.670 2.670 2.670
Ag 0.778 4.227 6.119
Ag 4.227 6.119 0.778
Ag 6.119 0.778 4.227
Ag 0.778 6.119 2.670
Ag 6.119 2.670 0.778
Y 3.449 0.000 3.449
Y 3.449 3.449 0.000
Y 0.000 0.000 0.000
Y 0.000 3.449 3.449
```

Computed properties:
Its formation energy from the elements is 32 kJ per mole of atoms. The space group is Pa-3, No. 205.

(2)
A plane-wave DFT calculation with PBE was carried out for a relaxed Sr2Ac15Sm2 crystal.

The structure in extended XYZ format:
```
19
Lattice="-8.546 3.792 -2.771 -5.825 -5.266 5.782 -1.074 6.482 7.206" Properties=species:S:1:pos:R:3 pbc="T T T"
Ac -7.750 1.141 -0.268
Ac -9.758 3.673 2.255
Ac -9.413 -0.006 2.989
Ac -3.261 5.695 4.286
Ac -2.913 -2.633 2.891
Ac -6.359 4.580 0.149
Ac -7.044 5.851 3.698
Ac -0.537 3.241 3.603
Ac -5.688 1.335 7.962
Ac -2.465 3.044 6.790
Ac -4.435 -1.828 6.199
Ac -4.273 1.896 -1.386
Ac -8.401 -0.842 6.519
Ac -6.033 5.014 7.229
Ac -6.622 -2.615 3.279
Sm -14.025 4.548 9.278
Sm -1.421 0.461 0.940
Sr -10.313 3.344 6.822
Sr -5.133 1.664 3.395
```

Computed properties:
Its formation energy from the elements is 22 kJ per mole of atoms. The space group is R-3m, No. 166.

Calculated density, 6167 7155 kg/m³ (same order as the records).